(1)
## NdNpNi2Sb4 (PBE-GGA)

Data for a relaxed structure of NdNpNi2Sb4.

Geometry as extended XYZ:
```
8
Lattice="-0.9099 3.8674 -1.7990 -2.1242 1.1843 3.6203 7.9160 3.4917 3.5026" Properties=species:S:1:pos:R:3 pbc="T T T"
Sb 3.3607 3.6168 0.7888
Sb 5.3120 5.5381 3.9323
Sb 2.7535 2.2752 3.4985
Sb 1.2755 0.5626 0.5644
Nd 6.0026 2.6477 2.6560
Np 0.2541 3.3071 1.6943
Ni -0.3358 1.9863 -0.8468
Ni -0.9430 0.6447 1.8629
```

**Symmetry**: No. 99
**Total DFT energy (no corrections)**: -6.0812 eV/atom

---

(2)
## NdNiOs (PBE-GGA)

Data for a relaxed structure of NdNiOs.

Geometry as extended XYZ:
```
3
Lattice="0.0000 3.1213 3.1213 3.1213 0.0000 3.1213 3.1213 3.1213 0.0000" Properties=species:S:1:pos:R:3 pbc="T T T"
Ni 0.0000 0.0000 0.0000
Os 4.6820 4.6820 4.6820
Nd 1.5607 1.5607 1.5607
```

**Symmetry**: No. 216
**Energy of formation**: 0.49 eV per atom

---

(3)
## NdSi2NiOs (PBE-GGA)

Data for a relaxed structure of NdSi2NiOs.

Geometry as extended XYZ:
```
5
Lattice="-2.8350 3.9597 3.2624 -4.3032 3.3115 -2.2081 1.6610 -5.6172 0.2198" Properties=species:S:1:pos:R:3 pbc="T T T"
Ni -3.1057 0.6650 -0.7306
Os -2.3716 0.9891 2.0047
Si -2.6678 2.7175 0.3940
Si -4.4705 4.5537 0.6602
Nd 0.0000 0.0000 0.0000
```

**Symmetry**: No. 119
**Total DFT energy (no corrections)**: -7.2169 eV/atom

---

(4)
## Nd2Ni8P (PBE-GGA)

Data for a relaxed structure of Nd2Ni8P.

Geometry as extended XYZ:
```
11
Lattice="-2.3954 -2.7141 1.5667 6.6918 -3.5238 4.1270 -6.4036 5.7609 0.1893" Properties=species:S:1:pos:R:3 pbc="T T T"
Ni -0.9120 0.8608 5.0625
Ni 5.1501 -2.4454 3.6379
Ni 2.7595 -2.9608 4.0555
Ni -4.8653 4.6555 0.6263
Ni -3.0522 3.9753 2.2201
Ni 3.4798 -0.6559 4.1843
Ni -4.8712 2.4493 1.7609
Ni 0.1929 1.4971 2.8886
P 0.0614 0.4767 0.9198
Nd 0.5151 -1.3708 3.3784
Nd -2.6271 0.8570 2.4336
```

**Symmetry**: No. 38
**Total DFT energy (no corrections)**: -5.8867 eV/atom

---

(5)
## NdNi3P2 (PBE-GGA)

Data for a relaxed structure of NdNi3P2.

Geometry as extended XYZ:
```
6
Lattice="3.8872 0.0000 0.0000 -1.9436 3.3664 0.0000 0.0000 0.0000 6.5922" Properties=species:S:1:pos:R:3 pbc="T T T"
Ni 0.0000 2.2443 4.3513
Ni 0.0000 0.0000 3.2961
Ni 1.9436 1.1221 2.2410
Nd 0.0000 0.0000 0.0000
P 1.9436 1.1221 4.6280
P 0.0000 2.2443 1.9642
```

**Symmetry**: No. 164
**Total DFT energy (no corrections)**: -6.2121 eV/atom

---

(6)
## Nd3Ni4P4 (PBE-GGA)

Data for a relaxed structure of Nd3Ni4P4.

Geometry as extended XYZ:
```
11
Lattice="-1.9696 2.0121 11.5539 1.9696 -2.0121 11.5539 1.9696 2.0121 -11.5539" Properties=species:S:1:pos:R:3 pbc="T T T"
Nd 0.0000 0.0000 0.0000
Nd 1.9696 0.0000 3.4594
Nd 0.0000 2.0121 8.0944
P 0.0000 0.0000 12.7551
P 1.9696 0.0000 7.0320
P 0.0000 0.0000 10.3526
P 0.0000 2.0121 4.5219
Ni 0.0000 0.0000 17.3403
Ni 0.0000 0.0000 5.7675
Ni 1.9696 0.0000 9.3271
Ni 0.0000 2.0121 2.2267
```

**Symmetry**: No. 71
**Total DFT energy (no corrections)**: -6.3873 eV/atom

---

(7)
## NdNiP2Pd (PBE-GGA)

Data for a relaxed structure of NdNiP2Pd.

Geometry as extended XYZ:
```
5
Lattice="-2.0288 2.0288 4.8955 2.0288 -2.0288 4.8955 2.0288 2.0288 -4.8955" Properties=species:S:1:pos:R:3 pbc="T T T"
Pd 0.0000 2.0288 2.4477
P 0.0000 0.0000 6.0542
P 0.0000 0.0000 3.7367
Ni 2.0288 0.0000 2.4477
Nd 0.0000 0.0000 0.0000
```

**Symmetry**: No. 119
**Total DFT energy (no corrections)**: -6.2021 eV/atom

---

(8)
## NdSiNi2P (PBE-GGA)

Data for a relaxed structure of NdSiNi2P.

Geometry as extended XYZ:
```
5
Lattice="-1.9936 1.9936 4.7825 1.9936 -1.9936 4.7825 1.9936 1.9936 -4.7825" Properties=species:S:1:pos:R:3 pbc="T T T"
Si 0.0000 0.0000 3.5668
Ni 1.9936 0.0000 2.3822
Ni 0.0000 1.9936 2.3822
P 0.0000 0.0000 5.9977
Nd 0.0000 0.0000 0.0188
```

**Symmetry**: No. 107
**Total DFT energy (no corrections)**: -6.2812 eV/atom

---

(9)
## TbNdNi2P4 (PBE-GGA)

Data for a relaxed structure of TbNdNi2P4.

Geometry as extended XYZ:
```
8
Lattice="3.7581 0.0000 0.0000 0.0000 3.7581 0.0000 0.0000 0.0000 9.6910" Properties=species:S:1:pos:R:3 pbc="T T T"
P 1.8790 1.8790 6.1616
P 0.0000 1.8790 9.6198
P 0.0000 0.0000 3.6294
P 1.8790 0.0000 9.6198
Ni 0.0000 1.8790 4.8860
Ni 1.8790 0.0000 4.8860
Tb 0.0000 0.0000 7.4137
Nd 1.8790 1.8790 2.2387
```

**Symmetry**: No. 99
**Total DFT energy (no corrections)**: -6.2384 eV/atom

---

(10)
## Nd2NiPb (PBE-GGA)

Data for a relaxed structure of Nd2NiPb.

Geometry as extended XYZ:
```
4
Lattice="-4.0304 1.8119 -0.7879 -2.6758 -4.7018 2.8755 -1.8344 -1.6407 5.6106" Properties=species:S:1:pos:R:3 pbc="T T T"
Nd -4.9504 -3.2217 5.1287
Nd -1.6244 -2.2843 3.0563
Ni -6.1444 -4.9008 7.3752
Pb -0.3317 -0.4664 0.6241
```

**Symmetry**: No. 38
**Total DFT energy (no corrections)**: -5.0327 eV/atom

---

(11)
## NdNiPdPb2 (PBE-GGA)

Data for a relaxed structure of NdNiPdPb2.

Geometry as extended XYZ:
```
10
Lattice="4.6959 0.0000 0.0000 0.0000 4.6959 0.0000 0.0000 0.0000 10.3629" Properties=species:S:1:pos:R:3 pbc="T T T"
Nd 2.3480 0.0000 7.8864
Nd 0.0000 2.3480 2.4765
Pb 2.3480 0.0000 1.4597
Pb 0.0000 2.3480 8.9032
Pb 2.3480 2.3480 5.1815
Pb 0.0000 0.0000 5.1815
Ni 2.3480 0.0000 3.9834
Ni 0.0000 2.3480 6.3795
Pd 2.3480 2.3480 0.0000
Pd 0.0000 0.0000 0.0000
```

**Symmetry**: No. 129
**Total DFT energy (no corrections)**: -4.9423 eV/atom

---

(12)
## PrNd2NiPt2Pb3 (PBE-GGA)

Data for a relaxed structure of PrNd2NiPt2Pb3.

Geometry as extended XYZ:
```
9
Lattice="-3.7181 1.4122 0.6623 -3.0438 -6.6777 -2.8493 1.6090 0.6343 7.6801" Properties=species:S:1:pos:R:3 pbc="T T T"
Ni -0.0013 -0.0054 0.0043
Nd 0.6573 0.2591 3.1374
Nd -1.2434 -2.7279 -1.1640
Pb -0.6494 1.1798 6.1115
Pb -2.2135 -0.7870 1.5247
Pb -4.1497 -4.3208 -1.8096
Pt -3.3554 -3.5380 0.9803
Pt -1.7963 -1.0879 4.5085
Pr -0.8481 -3.5722 2.8555
```

**Symmetry**: No. 38
**Total DFT energy (no corrections)**: -5.5219 eV/atom

---

Which formula does entry 6 have? Nd3Ni4P4

---

Repeat the seventh record exactly.
## NdNiP2Pd (PBE-GGA)

Data for a relaxed structure of NdNiP2Pd.

Geometry as extended XYZ:
```
5
Lattice="-2.0288 2.0288 4.8955 2.0288 -2.0288 4.8955 2.0288 2.0288 -4.8955" Properties=species:S:1:pos:R:3 pbc="T T T"
Pd 0.0000 2.0288 2.4477
P 0.0000 0.0000 6.0542
P 0.0000 0.0000 3.7367
Ni 2.0288 0.0000 2.4477
Nd 0.0000 0.0000 0.0000
```

**Symmetry**: No. 119
**Total DFT energy (no corrections)**: -6.2021 eV/atom